{"formula": "Sc2TaPb", "functional": "PBE-GGA", "state": "optimized geometry", "volume_a3_per_atom": 22.96, "e_form_kj_per_mol_atoms": 18.69, "sg": "R3m, No. 160", "cell": [[10.249, -0.017, -0.010], [9.741, 3.187, -0.010], [9.741, 1.545, 2.788]], "species": ["Pb", "Sc", "Sc", "Ta"], "frac_coords": [[0.753, 0.753, 0.753], [0.245, 0.245, 0.245], [0.001, 0.001, 0.001], [0.500, 0.500, 0.500]]}